Computed, not measured: Rb2SrTaS4 after structural relaxation at the PBE level of DFT.

POSCAR file:
```
Rb2SrTaS4
1.0
7.146 0.003 0.005
-3.042 6.466 -0.005
-3.042 -2.606 5.917
Sr S Ta Rb
1 4 1 2
Direct
0.500 0.250 0.750
0.042 0.217 0.607
0.610 0.393 0.435
0.958 0.565 0.176
0.390 0.824 0.783
0.000 0.500 0.500
0.500 0.750 0.250
0.000 0.000 0.000
```

## Properties
Crystal system: tetragonal
Total DFT energy (no corrections): -5.23 eV per atom
Space-group type: I-4, No. 82
Spin magnetization: 1.0 μB per formula unit
Formation energy (no corrections): -1.228 eV per atom

---

Computed, not measured: Rb2Sr2TaS6 after structural relaxation at the PBE level of DFT.

POSCAR file:
```
Rb2Sr2TaS6
1.0
7.092 0.083 0.056
-3.433 6.206 0.056
-1.317 -2.263 7.708
Ta Sr Rb S
1 2 2 6
Direct
0.000 0.000 0.500
0.336 0.664 0.500
0.664 0.336 0.500
0.175 0.825 0.000
0.825 0.175 0.000
0.788 0.788 0.688
0.064 0.349 0.687
0.349 0.064 0.687
0.651 0.936 0.313
0.936 0.651 0.313
0.212 0.212 0.312
```

## Properties
Crystal system: monoclinic
Total DFT energy (no corrections): -5.14 eV per atom
Space-group type: C2/m, No. 12
Spin magnetization: 0.3 μB per formula unit
Formation energy (no corrections): -1.334 eV per atom

---

Computed, not measured: Rb3SrTb2S6 after structural relaxation at the PBE level of DFT.

POSCAR file:
```
Rb3SrTb2S6
1.0
-6.797 -2.500 -0.664
2.913 0.907 6.602
-1.374 7.748 -1.798
S Sr Tb Rb
6 1 2 3
Direct
0.934 0.579 0.804
0.710 0.710 0.195
0.421 0.066 0.196
0.290 0.290 0.805
0.579 0.934 0.804
0.066 0.421 0.196
0.000 0.000 0.000
0.667 0.333 0.000
0.333 0.667 0.000
0.838 0.162 0.500
0.162 0.838 0.500
0.500 0.500 0.500
```

## Properties
Crystal system: monoclinic
Total DFT energy (no corrections): -4.88 eV per atom
Space-group type: C2/m, No. 12
Spin magnetization: 0.0 μB per formula unit
Formation energy (no corrections): -1.661 eV per atom

---

Computed, not measured: Rb2SrTeS4 after structural relaxation at the PBE level of DFT.

POSCAR file:
```
Rb2SrTeS4
1.0
8.736 -0.004 -0.238
-0.010 8.736 -0.238
-4.465 -4.468 6.413
Rb Sr Te S
4 2 2 8
Direct
0.500 0.000 0.000
0.500 0.500 0.000
0.500 0.000 0.500
0.000 0.000 0.500
0.000 0.500 0.500
0.000 0.500 0.000
0.000 0.000 0.000
0.500 0.500 0.500
0.757 0.743 0.547
0.800 0.238 0.019
0.243 0.257 0.453
0.262 0.700 0.481
0.243 0.257 0.047
0.757 0.743 0.953
0.738 0.300 0.519
0.200 0.762 0.981
```

## Properties
Crystal system: orthorhombic
Total DFT energy (no corrections): -3.87 eV per atom
Space-group type: Imma, No. 74
Spin magnetization: 0.0 μB per formula unit
Formation energy (no corrections): -0.957 eV per atom

---

Computed, not measured: Rb2SrThS4 after structural relaxation at the PBE level of DFT.

POSCAR file:
```
Rb2SrThS4
1.0
-1.204 2.581 -3.236
-3.246 -6.328 -3.840
-7.136 -0.600 2.177
S Rb Th Sr
4 2 1 1
Direct
0.000 0.302 0.256
0.000 0.698 0.744
0.500 0.304 0.714
0.500 0.696 0.286
0.000 0.000 0.000
0.500 0.000 0.500
0.000 0.500 0.500
0.500 0.500 0.000
```

## Properties
Crystal system: monoclinic
Total DFT energy (no corrections): -5.24 eV per atom
Space-group type: P2/m, No. 10
Spin magnetization: 0.0 μB per formula unit
Formation energy (no corrections): -1.799 eV per atom

---

Computed, not measured: Rb2SrTiS after structural relaxation at the PBE level of DFT.

POSCAR file:
```
Rb2SrTiS
1.0
-5.829 -1.754 0.511
1.616 -5.851 -1.645
0.934 -1.393 5.873
Rb S Sr Ti
2 1 1 1
Direct
0.500 0.000 0.000
0.000 0.000 0.500
0.500 0.500 0.500
0.000 0.500 0.000
0.000 0.000 0.000
```

## Properties
Crystal system: tetragonal
Total DFT energy (no corrections): -2.36 eV per atom
Space-group type: P4/mmm, No. 123
Spin magnetization: 4.0 μB per formula unit
Formation energy (no corrections): 0.769 eV per atom

---

Computed, not measured: RbSrTiS3 after structural relaxation at the PBE level of DFT.

POSCAR file:
```
RbSrTiS3
1.0
-1.020 0.404 4.641
-1.942 -7.989 -2.182
8.724 -0.302 1.943
S Sr Rb Ti
6 2 2 2
Direct
0.856 0.711 0.207
0.847 0.694 0.648
0.144 0.289 0.793
0.496 0.992 0.691
0.153 0.306 0.352
0.504 0.008 0.309
0.342 0.685 0.420
0.658 0.315 0.580
0.642 0.284 0.068
0.358 0.716 0.932
0.998 0.996 0.676
0.002 0.004 0.324
```

## Properties
Crystal system: monoclinic
Total DFT energy (no corrections): -5.25 eV per atom
Space-group type: C2/m, No. 12
Spin magnetization: 0.1 μB per formula unit
Formation energy (no corrections): -1.434 eV per atom

---

Computed, not measured: RbSr2TlS4 after structural relaxation at the PBE level of DFT.

POSCAR file:
```
RbSr2TlS4
1.0
8.653 0.145 0.003
0.139 8.653 0.003
-4.336 -4.339 6.216
S Sr Tl Rb
8 4 2 2
Direct
0.260 0.240 0.521
0.309 0.729 0.519
0.740 0.760 0.021
0.260 0.240 0.979
0.771 0.191 0.981
0.229 0.809 0.019
0.740 0.760 0.479
0.691 0.271 0.481
0.500 0.000 0.500
0.500 0.000 0.000
0.500 0.500 0.000
0.000 0.000 0.500
0.500 0.500 0.500
0.000 0.000 0.000
0.000 0.500 0.000
0.000 0.500 0.500
```

## Properties
Crystal system: orthorhombic
Total DFT energy (no corrections): -4.11 eV per atom
Space-group type: Imma, No. 74
Spin magnetization: 0.0 μB per formula unit
Formation energy (no corrections): -1.210 eV per atom

---

Computed, not measured: RbSrTlS3 after structural relaxation at the PBE level of DFT.

POSCAR file:
```
RbSrTlS3
1.0
5.337 0.000 0.000
-2.669 8.210 0.171
0.000 -2.219 8.423
Tl S Sr Rb
2 6 2 2
Direct
0.990 0.980 0.729
0.010 0.020 0.271
0.833 0.665 0.661
0.145 0.291 0.767
0.497 0.993 0.723
0.503 0.007 0.277
0.855 0.709 0.233
0.167 0.335 0.339
0.646 0.291 0.565
0.354 0.709 0.435
0.652 0.303 0.062
0.348 0.697 0.938
```

## Properties
Crystal system: monoclinic
Total DFT energy (no corrections): -3.85 eV per atom
Space-group type: C2/m, No. 12
Spin magnetization: 0.0 μB per formula unit
Formation energy (no corrections): -0.951 eV per atom

---

Computed, not measured: RbSrTlS2 after structural relaxation at the PBE level of DFT.

POSCAR file:
```
RbSrTlS2
1.0
-5.173 4.852 3.018
-5.673 -5.706 -0.550
2.299 -2.020 7.188
Sr Tl S Rb
2 2 4 2
Direct
0.511 0.000 0.750
0.489 0.000 0.250
0.000 0.000 0.500
0.000 0.000 0.000
0.675 0.795 0.990
0.675 0.205 0.510
0.325 0.205 0.010
0.325 0.795 0.490
0.429 0.500 0.750
0.571 0.500 0.250
```

## Properties
Crystal system: monoclinic
Total DFT energy (no corrections): -3.65 eV per atom
Space-group type: P2/c, No. 13
Spin magnetization: 0.0 μB per formula unit
Formation energy (no corrections): -0.992 eV per atom

---

Computed, not measured: Rb2SrUS4 after structural relaxation at the PBE level of DFT.

POSCAR file:
```
Rb2SrUS4
1.0
4.225 0.000 0.000
0.000 7.390 0.143
0.000 -2.573 7.622
U Sr S Rb
1 1 4 2
Direct
0.000 0.000 0.000
0.500 0.500 0.000
0.000 0.763 0.196
0.500 0.209 0.192
0.000 0.237 0.804
0.500 0.791 0.808
0.500 0.000 0.500
0.000 0.500 0.500
```

## Properties
Crystal system: monoclinic
Total DFT energy (no corrections): -5.49 eV per atom
Space-group type: P2/m, No. 10
Spin magnetization: 2.0 μB per formula unit
Formation energy (no corrections): -1.562 eV per atom

---

Computed, not measured: Rb2Sr2US6 after structural relaxation at the PBE level of DFT.

POSCAR file:
```
Rb2Sr2US6
1.0
-6.146 -1.872 3.379
2.680 -4.458 -5.063
5.297 -1.550 6.013
S Sr U Rb
6 2 1 2
Direct
0.643 0.938 0.310
0.221 0.221 0.310
0.357 0.062 0.690
0.938 0.643 0.310
0.779 0.779 0.690
0.062 0.357 0.690
0.664 0.336 0.500
0.336 0.664 0.500
0.000 0.000 0.500
0.826 0.174 0.000
0.174 0.826 0.000
```

## Properties
Crystal system: monoclinic
Total DFT energy (no corrections): -5.36 eV per atom
Space-group type: C2/m, No. 12
Spin magnetization: 0.0 μB per formula unit
Formation energy (no corrections): -1.601 eV per atom